# 1
Material: Mg2ZrNiCl
Method: DFT, PBE
State: optimized geometry

Electronic total energy, eV per atom: -3.493
Raw formation energy, eV per atom: 0.380

POSCAR file:
```
Mg2ZrNiCl
1.0
-0.379 -4.603 0.220
0.476 0.190 4.793
-4.586 0.399 0.440
Ni Mg Zr Cl
1 2 1 1
Direct
0.500 0.500 0.500 Ni
0.000 0.000 0.500 Mg
0.500 0.000 0.000 Mg
0.000 0.500 0.000 Zr
0.000 0.000 0.000 Cl
```

# 2
Material: Mg2NpCl8
Method: DFT, PBE
State: optimized geometry

Electronic total energy, eV per atom: -4.438
Raw formation energy, eV per atom: -1.629

POSCAR file:
```
Mg2NpCl8
1.0
-2.289 -2.327 -5.669
-8.012 -0.176 4.097
-6.665 5.959 1.035
Mg Np Cl
2 1 8
Direct
0.440 0.160 0.160 Mg
0.560 0.840 0.840 Mg
0.000 0.000 0.000 Np
0.742 0.172 0.683 Cl
0.258 0.317 0.828 Cl
0.796 0.131 0.131 Cl
0.204 0.869 0.869 Cl
0.742 0.683 0.172 Cl
0.258 0.828 0.317 Cl
0.378 0.291 0.291 Cl
0.622 0.709 0.709 Cl
```

What did the first record say?
Material: Mg2ZrNiCl
Method: DFT, PBE
State: optimized geometry

Electronic total energy, eV per atom: -3.493
Raw formation energy, eV per atom: 0.380

POSCAR file:
```
Mg2ZrNiCl
1.0
-0.379 -4.603 0.220
0.476 0.190 4.793
-4.586 0.399 0.440
Ni Mg Zr Cl
1 2 1 1
Direct
0.500 0.500 0.500 Ni
0.000 0.000 0.500 Mg
0.500 0.000 0.000 Mg
0.000 0.500 0.000 Zr
0.000 0.000 0.000 Cl
```